NaCaAcGa PBE-GGA relaxed; energy of formation = -3.5 kcal/mol of atoms; DOS(E_F) = 3.12 states/eV/f.u.
1.0
0.0000 3.9636 3.9636
3.9636 0.0000 3.9636
3.9636 3.9636 0.0000
Na Ca Ac Ga
1 1 1 1
direct
0.0000 0.0000 0.0000 Na
0.2500 0.2500 0.2500 Ca
0.7500 0.7500 0.7500 Ac
0.5000 0.5000 0.5000 Ga

---

CaAcGaNi PBE-GGA relaxed; energy of formation = -4.9 kcal/mol of atoms; DOS(E_F) = 4.09 states/eV/f.u.; distance to the lowest polymorph of the same formula = 0.1314 eV per atom
1.0
0.0000 3.7054 3.7054
3.7054 0.0000 3.7054
3.7054 3.7054 0.0000
Ca Ac Ga Ni
1 1 1 1
direct
0.0000 0.0000 0.0000 Ca
0.5000 0.5000 0.5000 Ac
0.2500 0.2500 0.2500 Ga
0.7500 0.7500 0.7500 Ni

---

CaAcGaNi PBE-GGA relaxed; energy of formation = -8.0 kcal/mol of atoms; DOS(E_F) = 3.46 states/eV/f.u.; distance to the lowest polymorph of the same formula = 0.0000 eV per atom
1.0
4.1339 0.0000 0.0000
0.0000 2.1498 5.9631
0.0000 -2.1498 5.9631
Ca Ac Ga Ni
1 1 1 1
direct
0.0000 0.0000 0.0000 Ca
0.5000 0.2801 0.2801 Ac
0.5000 0.5725 0.5725 Ga
0.0000 0.6922 0.6922 Ni

---

CaAc2Ga2O6 PBE-GGA relaxed; formation energy from raw total energies = -2.2903 eV per atom; DOS(E_F) = 1.13 states/eV/f.u.
1.0
5.9062 0.0000 0.0000
-2.9531 5.1149 0.0000
0.0000 0.0000 6.3857
Ca Ac Ga O
1 2 2 6
direct
0.0000 0.0000 0.0000 Ca
0.3333 0.6667 0.3743 Ac
0.6667 0.3333 0.6257 Ac
0.3333 0.6667 0.8714 Ga
0.6667 0.3333 0.1286 Ga
0.0700 0.7120 0.7424 O
0.2880 0.3579 0.7424 O
0.3579 0.0700 0.2576 O
0.6421 0.9300 0.7424 O
0.7120 0.6421 0.2576 O
0.9300 0.2880 0.2576 O

---

CaAcGaPb PBE-GGA relaxed; energy of formation = -10.3 kcal/mol of atoms; DOS(E_F) = 2.31 states/eV/f.u.; distance to the lowest polymorph of the same formula = 0.0724 eV per atom
1.0
0.0000 3.9567 3.9567
3.9567 0.0000 3.9567
3.9567 3.9567 0.0000
Ca Ac Ga Pb
1 1 1 1
direct
0.0000 0.0000 0.0000 Ca
0.5000 0.5000 0.5000 Ac
0.7500 0.7500 0.7500 Ga
0.2500 0.2500 0.2500 Pb

---

CaAcGaPb PBE-GGA relaxed; energy of formation = -12.0 kcal/mol of atoms; DOS(E_F) = 2.01 states/eV/f.u.; distance to the lowest polymorph of the same formula = 0.0000 eV per atom
1.0
4.4460 0.0000 0.0000
0.0000 2.4141 5.9924
0.0000 -2.4141 5.9924
Ca Ac Ga Pb
1 1 1 1
direct
0.0000 0.0000 0.0000 Ca
0.5000 0.2734 0.2734 Ac
0.0000 0.7159 0.7159 Ga
0.5000 0.5577 0.5577 Pb

---

CaAc2GaPd6 PBE-GGA relaxed; energy of formation = -14.7 kcal/mol of atoms; DOS(E_F) = 4.57 states/eV/f.u.
1.0
3.3018 1.9063 12.3990
-3.3018 1.9063 12.3990
0.0000 -3.8126 12.3990
Ca Ac Ga Pd
2 4 2 12
direct
0.0775 0.0775 0.0775 Ca
0.9225 0.9225 0.9225 Ca
0.2139 0.2139 0.2139 Ac
0.3783 0.3783 0.3783 Ac
0.6217 0.6217 0.6217 Ac
0.7861 0.7861 0.7861 Ac
0.0000 0.0000 0.0000 Ga
0.5000 0.5000 0.5000 Ga
0.1428 0.7200 0.7200 Pd
0.1671 0.1671 0.5776 Pd
0.1671 0.5776 0.1671 Pd
0.2800 0.2800 0.8572 Pd
0.2800 0.8572 0.2800 Pd
0.4224 0.8329 0.8329 Pd
0.5776 0.1671 0.1671 Pd
0.7200 0.1428 0.7200 Pd
0.7200 0.7200 0.1428 Pd
0.8329 0.4224 0.8329 Pd
0.8329 0.8329 0.4224 Pd
0.8572 0.2800 0.2800 Pd

---

CaAcGa2Pd5 PBE-GGA relaxed; energy of formation = -17.2 kcal/mol of atoms; DOS(E_F) = 1.09 states/eV/f.u.
1.0
4.3263 0.0000 0.0000
0.0000 4.3263 0.0000
0.0000 0.0000 9.4629
Ca Ac Ga Pd
1 1 2 5
direct
0.0000 0.0000 0.0000 Ca
0.0000 0.0000 0.5000 Ac
0.5000 0.5000 0.1346 Ga
0.5000 0.5000 0.8654 Ga
0.0000 0.5000 0.2679 Pd
0.0000 0.5000 0.7321 Pd
0.5000 0.0000 0.2679 Pd
0.5000 0.0000 0.7321 Pd
0.5000 0.5000 0.5000 Pd

---

CaAcPmGa PBE-GGA relaxed; energy of formation = -2.0 kcal/mol of atoms; DOS(E_F) = 2.89 states/eV/f.u.
1.0
0.0000 3.9875 3.9875
3.9875 0.0000 3.9875
3.9875 3.9875 0.0000
Ca Ac Pm Ga
1 1 1 1
direct
0.0000 0.0000 0.0000 Ca
0.7500 0.7500 0.7500 Ac
0.2500 0.2500 0.2500 Pm
0.5000 0.5000 0.5000 Ga

---

CaAcPrGa PBE-GGA relaxed; energy of formation = -2.3 kcal/mol of atoms; DOS(E_F) = 2.84 states/eV/f.u.
1.0
0.0000 4.0095 4.0095
4.0095 0.0000 4.0095
4.0095 4.0095 0.0000
Ca Ac Pr Ga
1 1 1 1
direct
0.0000 0.0000 0.0000 Ca
0.7500 0.7500 0.7500 Ac
0.2500 0.2500 0.2500 Pr
0.5000 0.5000 0.5000 Ga

---

CaAcGa2Pt2 PBE-GGA relaxed; energy of formation = -21.6 kcal/mol of atoms; DOS(E_F) = 2.23 states/eV/f.u.
1.0
4.4810 0.0000 0.0000
-2.2405 3.8807 0.0000
0.0000 0.0000 7.8708
Ca Ac Ga Pt
1 1 2 2
direct
0.0000 0.0000 0.0000 Ca
0.0000 0.0000 0.5000 Ac
0.3333 0.6667 0.7812 Ga
0.6667 0.3333 0.2188 Ga
0.3333 0.6667 0.2349 Pt
0.6667 0.3333 0.7651 Pt

---

CaAcGaPt PBE-GGA relaxed; energy of formation = -18.1 kcal/mol of atoms; DOS(E_F) = 2.61 states/eV/f.u.; distance to the lowest polymorph of the same formula = 0.0000 eV per atom
1.0
4.2804 0.0000 0.0000
0.0000 2.1693 5.8948
0.0000 -2.1693 5.8948
Ca Ac Ga Pt
1 1 1 1
direct
0.0000 0.0000 0.0000 Ca
0.5000 0.7167 0.7167 Ac
0.5000 0.4309 0.4309 Ga
0.0000 0.2933 0.2933 Pt